# TaTiOsRu

A geometry-optimized TaTiOsRu structure (PBE, the Alexandria database).

Structure (CIF):
```
data_TaTiOsRu
_chemical_formula_sum 'Ta1 Ti1 Os1 Ru1'
_cell_length_a 4.438
_cell_length_b 4.438
_cell_length_c 4.438
_cell_angle_alpha 60.00
_cell_angle_beta 60.00
_cell_angle_gamma 60.00
_symmetry_space_group_name_H-M 'P 1'
_symmetry_Int_Tables_number 1
_symmetry_space_group_name_Hall 'P 1'
loop_
_atom_site_label
_atom_site_fract_x
_atom_site_fract_y
_atom_site_fract_z
Ru1 0.500 0.500 0.500
Ti1 0.250 0.250 0.250
Os1 0.000 0.000 0.000
Ta1 0.750 0.750 0.750
```

Space-group type: F-43m

=====

# TaVOsRu

A geometry-optimized TaVOsRu structure (PBE, the Alexandria database).

Structure (CIF):
```
data_TaVOsRu
_chemical_formula_sum 'Ta1 V1 Os1 Ru1'
_cell_length_a 4.402
_cell_length_b 4.402
_cell_length_c 4.402
_cell_angle_alpha 60.00
_cell_angle_beta 60.00
_cell_angle_gamma 60.00
_symmetry_space_group_name_H-M 'P 1'
_symmetry_Int_Tables_number 1
_symmetry_space_group_name_Hall 'P 1'
loop_
_atom_site_label
_atom_site_fract_x
_atom_site_fract_y
_atom_site_fract_z
Ru1 0.750 0.750 0.750
V1 0.500 0.500 0.500
Os1 0.250 0.250 0.250
Ta1 0.000 0.000 0.000
```

Space-group type: F-43m

=====

# YTaOsRu

A geometry-optimized YTaOsRu structure (PBE, the Alexandria database).

Structure (CIF):
```
data_YTaOsRu
_chemical_formula_sum 'Y1 Ta1 Os1 Ru1'
_cell_length_a 4.638
_cell_length_b 4.638
_cell_length_c 4.638
_cell_angle_alpha 60.00
_cell_angle_beta 60.00
_cell_angle_gamma 60.00
_symmetry_space_group_name_H-M 'P 1'
_symmetry_Int_Tables_number 1
_symmetry_space_group_name_Hall 'P 1'
loop_
_atom_site_label
_atom_site_fract_x
_atom_site_fract_y
_atom_site_fract_z
Y1 0.000 0.000 0.000
Ru1 0.750 0.750 0.750
Os1 0.250 0.250 0.250
Ta1 0.500 0.500 0.500
```

Space-group type: F-43m

=====

# Tb2Os3Ru

A geometry-optimized Tb2Os3Ru structure (PBE, the Alexandria database).

Structure (CIF):
```
data_Tb2Os3Ru
_chemical_formula_sum 'Tb2 Os3 Ru1'
_cell_length_a 5.301
_cell_length_b 5.301
_cell_length_c 5.430
_cell_angle_alpha 89.93
_cell_angle_beta 119.29
_cell_angle_gamma 120.01
_symmetry_space_group_name_H-M 'P 1'
_symmetry_Int_Tables_number 1
_symmetry_space_group_name_Hall 'P 1'
loop_
_atom_site_label
_atom_site_fract_x
_atom_site_fract_y
_atom_site_fract_z
Tb1 0.752 0.376 0.127
Tb2 0.248 0.624 0.873
Os1 0.500 0.500 0.500
Os2 0.000 0.000 0.500
Os3 0.500 0.000 0.500
Ru1 0.000 0.000 0.000
```

Space-group type: C2/m

=====

# Tb2OsRu

A geometry-optimized Tb2OsRu structure (PBE, the Alexandria database).

Structure (CIF):
```
data_Tb2OsRu
_chemical_formula_sum 'Tb2 Os1 Ru1'
_cell_length_a 3.415
_cell_length_b 3.415
_cell_length_c 6.840
_cell_angle_alpha 90.00
_cell_angle_beta 90.00
_cell_angle_gamma 90.00
_symmetry_space_group_name_H-M 'P 1'
_symmetry_Int_Tables_number 1
_symmetry_space_group_name_Hall 'P 1'
loop_
_atom_site_label
_atom_site_fract_x
_atom_site_fract_y
_atom_site_fract_z
Tb1 0.000 0.000 0.750
Tb2 0.000 0.000 0.250
Os1 0.500 0.500 0.000
Ru1 0.500 0.500 0.500
```

Space-group type: P4/mmm

=====

# TbOsRu

A geometry-optimized TbOsRu structure (PBE, the Alexandria database).

Structure (CIF):
```
data_TbOsRu
_chemical_formula_sum 'Tb2 Os2 Ru2'
_cell_length_a 4.434
_cell_length_b 5.606
_cell_length_c 5.522
_cell_angle_alpha 77.96
_cell_angle_beta 66.33
_cell_angle_gamma 66.71
_symmetry_space_group_name_H-M 'P 1'
_symmetry_Int_Tables_number 1
_symmetry_space_group_name_Hall 'P 1'
loop_
_atom_site_label
_atom_site_fract_x
_atom_site_fract_y
_atom_site_fract_z
Ru1 0.331 0.239 0.098
Ru2 0.669 0.761 0.902
Os1 0.657 0.419 0.268
Os2 0.343 0.581 0.732
Tb1 0.938 0.814 0.310
Tb2 0.062 0.186 0.690
```

Offset from the most stable computed form, meV per atom: 117
Space-group type: C2/m

=====

# TbOsRu

A geometry-optimized TbOsRu structure (PBE, the Alexandria database).

Structure (CIF):
```
data_TbOsRu
_chemical_formula_sum 'Tb2 Os2 Ru2'
_cell_length_a 5.241
_cell_length_b 5.357
_cell_length_c 5.357
_cell_angle_alpha 61.60
_cell_angle_beta 60.71
_cell_angle_gamma 60.71
_symmetry_space_group_name_H-M 'P 1'
_symmetry_Int_Tables_number 1
_symmetry_space_group_name_Hall 'P 1'
loop_
_atom_site_label
_atom_site_fract_x
_atom_site_fract_y
_atom_site_fract_z
Tb1 0.877 0.373 0.373
Tb2 0.123 0.627 0.627
Os1 0.000 0.000 0.000
Os2 0.500 0.000 0.000
Ru1 0.500 0.500 0.000
Ru2 0.500 0.000 0.500
```

Offset from the most stable computed form, meV per atom: 0
Space-group type: Imma

=====

# Tb2OsRu3

A geometry-optimized Tb2OsRu3 structure (PBE, the Alexandria database).

Structure (CIF):
```
data_Tb2OsRu3
_chemical_formula_sum 'Tb4 Os2 Ru6'
_cell_length_a 5.319
_cell_length_b 5.319
_cell_length_c 8.819
_cell_angle_alpha 90.00
_cell_angle_beta 90.00
_cell_angle_gamma 120.00
_symmetry_space_group_name_H-M 'P 1'
_symmetry_Int_Tables_number 1
_symmetry_space_group_name_Hall 'P 1'
loop_
_atom_site_label
_atom_site_fract_x
_atom_site_fract_y
_atom_site_fract_z
Tb1 0.667 0.333 0.435
Tb2 0.333 0.667 0.565
Tb3 0.333 0.667 0.935
Tb4 0.667 0.333 0.065
Os1 0.000 0.000 0.500
Os2 0.000 0.000 0.000
Ru1 0.171 0.343 0.250
Ru2 0.343 0.171 0.750
Ru3 0.829 0.657 0.750
Ru4 0.171 0.829 0.250
Ru5 0.829 0.171 0.750
Ru6 0.657 0.829 0.250
```

Space-group type: P6_3/mmc

=====

Across the entries above, formation energy from the elements takes the values -533, -234, -266, -266, -143, -157, -274, -291 meV/atom, respectively.
Across the entries above, volume takes the values 15.5, 15.1, 17.6, 18.2, 19.9, 19.2, 18.1, 18.0 Å³ per atom, respectively.